La3GePbCl | GGA-PBE | relaxed

Cell and atoms, written as POSCAR:
```
La3GePbCl
1.0
4.4124 0.0000 0.0000
0.0000 7.7275 0.3340
0.0000 -2.7385 11.2710
Ge Cl La Pb
2 2 6 2
Cartesian
3.3093 -0.7475 10.5427 Ge
1.1031 5.7365 1.0623 Ge
3.3093 5.7980 4.4856 Cl
1.1031 -0.8089 7.1194 Cl
3.3093 -0.0480 1.6777 La
1.1031 1.2584 9.6913 La
1.1031 5.0371 9.9273 La
1.1031 4.3040 5.8025 La
3.3093 0.6850 5.8025 La
3.3093 3.7307 1.9136 La
1.1031 1.8023 3.6602 Pb
3.3093 3.1867 7.9448 Pb
```

Calculated values
D(E_F): 3.543 states/eV per cell
E_form (uncorrected): -1012 meV/atom
total magnetic moment: 0.0 μB/f.u.